(1)
Here is an optimized crystal structure of Ac5TbHo from the Alexandria database. Energies are from PBE.

Results
The calculated volume is 42.27 Å³/atom. Its symmetry is No. 15. The value obtained for the density of states at the Fermi level is 10.5 states/eV/f.u. As for the total magnetization: 0.000 μB/f.u. The value obtained for the total energy is -4.012 eV per atom.

Lattice parameters (Å, degrees): 12.681 12.681 7.196 93.26 93.26 148.46
Sites, in units of the cell vectors:
Ac: 0.139 0.861 0.750
Ac: 0.187 0.283 0.657
Ac: 0.272 0.677 0.500
Ac: 0.283 0.187 0.157
Ac: 0.323 0.728 0.000
Ac: 0.677 0.272 0.000
Ac: 0.717 0.813 0.843
Ac: 0.728 0.323 0.500
Ac: 0.813 0.717 0.343
Ac: 0.861 0.139 0.250
Tb: 0.171 0.829 0.250
Tb: 0.829 0.171 0.750
Ho: 0.421 0.579 0.250
Ho: 0.579 0.421 0.750

(2)
Here is an optimized crystal structure of AcTb3Ho4 from the Alexandria database. Energies are from PBE.

Results
The calculated volume is 33.18 Å³/atom. Its symmetry is No. 71. The value obtained for the density of states at the Fermi level is 13.7 states/eV/f.u. As for the total magnetization: 0.000 μB/f.u. The value obtained for the total energy is -4.372 eV per atom. Its excess energy over the best structure of this formula in the dataset is 0.00 eV/f.u.

Lattice parameters (Å, degrees): 3.469 11.734 13.043 90.00 90.00 90.00
Sites, in units of the cell vectors:
Ac: 0.000 0.000 0.000
Ac: 0.500 0.500 0.500
Tb: 0.000 0.000 0.500
Tb: 0.000 0.500 0.256
Tb: 0.000 0.500 0.744
Tb: 0.500 0.000 0.244
Tb: 0.500 0.000 0.756
Tb: 0.500 0.500 0.000
Ho: 0.000 0.254 0.136
Ho: 0.000 0.254 0.864
Ho: 0.000 0.746 0.136
Ho: 0.000 0.746 0.864
Ho: 0.500 0.246 0.364
Ho: 0.500 0.246 0.636
Ho: 0.500 0.754 0.364
Ho: 0.500 0.754 0.636

(3)
Here is an optimized crystal structure of Ac2Tb5Ho5 from the Alexandria database. Energies are from PBE.

Results
The calculated volume is 33.32 Å³/atom. Its symmetry is No. 12. The value obtained for the density of states at the Fermi level is 15.3 states/eV/f.u. As for the total magnetization: 0.000 μB/f.u. The value obtained for the total energy is -4.482 eV per atom.

Lattice parameters (Å, degrees): 9.519 9.519 11.955 100.27 100.27 22.05
Sites, in units of the cell vectors:
Ac: 0.084 0.084 0.251
Ac: 0.916 0.916 0.749
Tb: 0.332 0.332 0.494
Tb: 0.414 0.414 0.250
Tb: 0.500 0.500 0.000
Tb: 0.586 0.586 0.750
Tb: 0.668 0.668 0.506
Ho: 0.000 0.000 0.500
Ho: 0.168 0.168 0.998
Ho: 0.247 0.247 0.753
Ho: 0.753 0.753 0.247
Ho: 0.832 0.832 0.002

(4)
Here is an optimized crystal structure of Ac2Tb7Ho4 from the Alexandria database. Energies are from PBE.

Results
The calculated volume is 34.07 Å³/atom. Its symmetry is No. 162. The value obtained for the density of states at the Fermi level is 20.5 states/eV/f.u. As for the total magnetization: 0.000 μB/f.u. The value obtained for the total energy is -4.306 eV per atom.

Lattice parameters (Å, degrees): 6.191 6.191 13.346 90.00 90.00 120.00
Sites, in units of the cell vectors:
Ac: 0.333 0.667 0.000
Ac: 0.667 0.333 0.000
Tb: 0.000 0.000 0.000
Tb: 0.000 0.359 0.777
Tb: 0.000 0.641 0.223
Tb: 0.359 0.000 0.777
Tb: 0.359 0.359 0.223
Tb: 0.641 0.000 0.223
Tb: 0.641 0.641 0.777
Ho: 0.000 0.000 0.396
Ho: 0.000 0.000 0.604
Ho: 0.333 0.667 0.500
Ho: 0.667 0.333 0.500

Copy entry 3 word for word.
Here is an optimized crystal structure of Ac2Tb5Ho5 from the Alexandria database. Energies are from PBE.

Results
The calculated volume is 33.32 Å³/atom. Its symmetry is No. 12. The value obtained for the density of states at the Fermi level is 15.3 states/eV/f.u. As for the total magnetization: 0.000 μB/f.u. The value obtained for the total energy is -4.482 eV per atom.

Lattice parameters (Å, degrees): 9.519 9.519 11.955 100.27 100.27 22.05
Sites, in units of the cell vectors:
Ac: 0.084 0.084 0.251
Ac: 0.916 0.916 0.749
Tb: 0.332 0.332 0.494
Tb: 0.414 0.414 0.250
Tb: 0.500 0.500 0.000
Tb: 0.586 0.586 0.750
Tb: 0.668 0.668 0.506
Ho: 0.000 0.000 0.500
Ho: 0.168 0.168 0.998
Ho: 0.247 0.247 0.753
Ho: 0.753 0.753 0.247
Ho: 0.832 0.832 0.002

Q: The lowest calculated volume belongs to which entry?
A: AcTb3Ho4

Q: Look up the total energy of the fourth one.
A: -4.306 eV per atom